1.
First-principles (GGA-PBE) data for a geometry-optimized TeIrPb2 structure, as listed in Alexandria.

a b c (Å): 4.424 4.424 5.047
angles (deg): 90.00 90.00 90.00
Atoms (fractional coordinates):
Te: 0.000 0.000 0.000
Ir: 0.500 0.500 0.000
Pb: 0.000 0.500 0.500
Pb: 0.500 0.000 0.500

Summary:
**E_tot**: -17.5 eV/cell
**Theoretical density**: 12.34 Mg/m³
**Symmetry**: P4/mmm, No. 123
**Formation energy from raw total energies**: 0.483 eV per atom



2.
First-principles (GGA-PBE) data for a geometry-optimized TeIrPb2 structure, as listed in Alexandria.

a b c (Å): 5.166 4.258 5.826
angles (deg): 90.00 110.31 90.00
Atoms (fractional coordinates):
Te: 0.000 0.000 0.000
Ir: 0.500 0.000 0.000
Pb: 0.313 0.500 0.673
Pb: 0.687 0.500 0.327

Summary:
**E_tot**: -18.8 eV/cell
**Theoretical density**: 10.15 Mg/m³
**Symmetry**: P2/m, No. 10
**Formation energy from raw total energies**: 0.166 eV per atom